# 1
# NaNiSCl2

A relaxed structure of NaNiSCl2 (GGA-PBE, Alexandria via LeMat-Bulk).

```
NaNiSCl2
1.0
4.9437 0.0000 0.0000
0.0000 4.9437 0.0000
0.0000 0.0000 4.3214
Cl Ni S Na
2 1 1 1
Direct
0.5000 0.0000 0.0000
0.0000 0.5000 0.0000
0.0000 0.0000 0.0000
0.0000 0.0000 0.5000
0.5000 0.5000 0.5000
```

Output
Offset from the most stable computed form (meV/atom): 0
Energy relative to the elements, uncorrected (eV per formula unit): -2.98
Fermi-level density of states (states/eV/f.u.): 2.73
Final energy (eV per cell): -17.90

# 2
# NaSiNi2Cl

A relaxed structure of NaSiNi2Cl (GGA-PBE, Alexandria via LeMat-Bulk).

```
NaSiNi2Cl
1.0
-3.6625 0.8329 1.9405
-1.6507 -5.5257 -0.7438
1.7375 -1.0194 3.7169
Cl Na Ni Si
1 1 2 1
Direct
0.0000 0.5000 0.0000
0.5000 0.5000 0.5000
0.5000 0.0000 0.0000
0.0000 0.0000 0.5000
0.0000 0.0000 0.0000
```

Output
Energy relative to the elements, uncorrected (eV per formula unit): -0.13
Fermi-level density of states (states/eV/f.u.): 0.67
Final energy (eV per cell): -20.28

# 3
# NaTl2NiCl6

A relaxed structure of NaTl2NiCl6 (GGA-PBE, Alexandria via LeMat-Bulk).

```
NaTl2NiCl6
1.0
7.0273 0.0000 -0.0495
0.0000 7.0953 0.0000
-0.0042 0.0000 10.5201
Cl Ni Na Tl
12 2 2 4
Direct
0.8246 0.7634 0.9807
0.6754 0.2634 0.5193
0.2358 0.1757 0.4805
0.9598 0.5054 0.2381
0.2642 0.6757 0.0195
0.5402 0.0054 0.2619
0.0402 0.4946 0.7619
0.7642 0.8243 0.5195
0.7358 0.3243 0.9805
0.4598 0.9946 0.7381
0.1754 0.2366 0.0193
0.3246 0.7366 0.4807
0.0000 0.5000 0.0000
0.5000 0.0000 0.5000
0.5000 0.0000 0.0000
0.0000 0.5000 0.5000
0.5029 0.4614 0.2511
0.4971 0.5386 0.7489
0.0029 0.0386 0.7511
0.9971 0.9614 0.2489
```

Output
Energy relative to the elements, uncorrected (eV per formula unit): -9.31
Fermi-level density of states (states/eV/f.u.): 0.19
Final energy (eV per cell): -64.45

# 4
# Na3Tl3NiCl8

A relaxed structure of Na3Tl3NiCl8 (GGA-PBE, Alexandria via LeMat-Bulk).

```
Na3Tl3NiCl8
1.0
-5.8476 5.5684 -1.3146
4.0424 -3.2584 -6.3269
-5.7971 -5.0925 4.2161
Na Tl Ni Cl
3 3 1 8
Direct
0.5000 0.0000 0.5000
0.0000 0.5000 0.5000
0.5000 0.5000 0.5000
0.5000 0.5000 0.0000
0.0000 0.5000 0.0000
0.0000 0.0000 0.0000
0.0000 0.0000 0.5000
0.2636 0.5273 0.2911
0.2063 0.9802 0.6864
0.7937 0.0198 0.3136
0.2262 0.0198 0.3136
0.7364 0.4727 0.7089
0.2060 0.4119 0.6861
0.7738 0.9802 0.6864
0.7940 0.5881 0.3139
```

Output
Energy relative to the elements, uncorrected (eV per formula unit): -18.20
Final energy (eV per cell): -49.81